Record 1
First-principles (PBE) data for a relaxed structure of CuIrAu, as listed in Alexandria via LeMat-Bulk.

Results
symmetry = Fmm2
D(E_F) = 1.424 states/eV/atom
theoretical density = 16.4 Mg/m³
calculated total energy = -0.1897 Ha/atom
DFT formation energy = 0.7 eV/f.u.

abc: 7.321 7.068 2.745
angles: 84.23 73.86 21.90
Element x y z (fractional)
Au: 0.994 0.994 0.006
Cu: 0.330 0.330 0.670
Ir: 0.676 0.676 0.324

Record 2
First-principles (PBE) data for a relaxed structure of Pm5Ni2Ir, as listed in Alexandria via LeMat-Bulk.

Results
symmetry = I4/mcm
D(E_F) = 1.034 states/eV/atom
theoretical density = 8.8 Mg/m³
calculated total energy = -0.2163 Ha/atom
DFT formation energy = -2.9 eV/f.u.

abc: 7.219 7.219 9.084
angles: 113.41 113.41 90.00
Element x y z (fractional)
Pm: 0.529 0.679 0.709
Pm: 0.821 0.971 0.291
Pm: 0.000 0.000 0.000
Pm: 0.500 0.500 0.000
Pm: 0.179 0.029 0.709
Pm: 0.679 0.179 0.709
Pm: 0.029 0.529 0.709
Pm: 0.321 0.821 0.291
Pm: 0.971 0.471 0.291
Pm: 0.471 0.321 0.291
Ni: 0.118 0.382 0.000
Ni: 0.618 0.118 0.000
Ni: 0.382 0.882 0.000
Ni: 0.882 0.618 0.000
Ir: 0.750 0.750 0.500
Ir: 0.250 0.250 0.500

Record 3
First-principles (PBE) data for a relaxed structure of Ca2DySnS4, as listed in Alexandria via LeMat-Bulk.

Results
symmetry = P2/m
D(E_F) = 0.362 states/eV/atom
theoretical density = 4.4 Mg/m³
calculated total energy = -0.1928 Ha/atom

abc: 4.008 7.048 6.960
angles: 109.34 90.00 90.00
Element x y z (fractional)
Ca: 0.500 0.000 0.500
Ca: 0.000 0.500 0.500
Dy: 0.500 0.500 0.000
Sn: 0.000 0.000 0.000
S: 0.500 0.260 0.251
S: 0.500 0.740 0.749
S: 0.000 0.258 0.754
S: 0.000 0.742 0.246